V6NiRh8 | Alexandria via LeMat-Bulk | GGA-PBE | optimized geometry; E_form = -0.10 eV per atom; calculated volume = 14.96 Å³ per atom; energy = -8.059 eV/atom
1.0
3.539 2.043 5.173
-3.539 2.043 5.173
0.000 -4.086 5.173
V Ni Rh
6 1 8
Cartesian
-2.314 -0.011 6.835
-1.147 -2.010 8.684
1.167 -1.999 6.835
-1.167 1.999 8.684
1.147 2.010 6.835
2.314 0.011 8.684
0.000 0.000 7.759
-1.186 -2.054 5.989
0.000 0.000 2.556
-2.372 0.000 9.529
-1.186 2.055 5.989
1.186 -2.055 9.529
2.372 0.000 5.989
0.000 0.000 12.963
1.186 2.054 9.529

***

TmZrScIn | Alexandria via LeMat-Bulk | GGA-PBE | optimized geometry; E_form = -0.09 eV per atom; E above lowest polymorph = 0.128 eV/atom; calculated volume = 24.48 Å³ per atom; energy = -5.614 eV/atom
1.0
7.317 0.000 0.000
0.000 7.317 0.000
0.000 0.000 7.317
Tm Zr Sc In
4 4 4 4
Cartesian
0.000 0.000 0.000
0.000 3.658 3.658
3.658 0.000 3.658
3.658 3.658 0.000
1.829 1.829 1.829
1.829 5.487 5.487
5.487 1.829 5.487
5.487 5.487 1.829
0.000 0.000 3.658
0.000 3.658 0.000
3.658 0.000 0.000
3.658 3.658 3.658
1.829 1.829 5.487
1.829 5.487 1.829
5.487 1.829 1.829
5.487 5.487 5.487

***

Si2Ru2Br | Alexandria via LeMat-Bulk | GGA-PBE | optimized geometry; calculated volume = 16.76 Å³ per atom; energy = -6.351 eV/atom
1.0
3.540 0.000 0.000
0.000 3.540 0.000
0.000 0.000 13.377
Si Ru Br
4 4 2
Cartesian
0.000 1.770 3.344
0.000 1.770 10.032
1.770 0.000 3.344
1.770 0.000 10.032
0.000 0.000 1.764
0.000 0.000 11.613
1.770 1.770 4.925
1.770 1.770 8.452
0.000 0.000 6.688
1.770 1.770 0.000

***

SrBeO2 | Alexandria via LeMat-Bulk | GGA-PBE | optimized geometry; calculated volume = 12.05 Å³ per atom; energy = -6.512 eV/atom
1.0
5.447 0.000 0.000
0.000 9.141 0.000
-1.432 0.000 3.873
Sr Be O
4 4 8
Cartesian
-0.358 1.376 0.968
-1.074 7.765 2.905
1.649 3.194 2.905
2.365 5.947 0.968
-1.074 4.525 2.905
-0.358 4.616 0.968
2.365 0.045 0.968
1.649 9.096 2.905
0.866 3.702 0.380
0.150 5.439 2.316
0.425 0.869 3.493
1.141 8.272 1.556
2.873 0.869 2.316
3.589 8.272 0.380
3.865 3.702 1.556
3.149 5.439 3.493